# Tb4CdInO

An optimized crystal structure of Tb4CdInO (PBE-GGA, Alexandria).

abc: 6.647 16.099 6.650
angles: 90.00 90.00 90.00
Space group Cmcm (No. 63)
Unique sites:
Tb (0.000, 0.077, 0.250) (multiplicity 4)
Tb (0.000, 0.420, 0.250) (multiplicity 4)
Tb (0.250, 0.250, 0.000) (multiplicity 8)
Cd (0.000, 0.116, 0.750) (multiplicity 4)
In (0.000, 0.387, 0.750) (multiplicity 4)
O (0.000, 0.250, 0.250) (multiplicity 4)

Magnetization = 0.0 μB/cell
Energy relative to the elements, uncorrected = -680 kJ/mol of formula units
DFT total energy = -4.8835 eV/atom